# YTlB2 (PBE, relaxed)
# total magnetic moment = 0.00 μB/atom
# ΔE_f = 0.909 eV per atom
# total DFT energy (no corrections) = -0.1704 hartree per atom
# D(E_F) = 0.523 states/eV/atom
data_YTlB2
_chemical_formula_sum 'Y4 Tl4 B8'
_symmetry_space_group_name_H-M 'F m -3 m'
_symmetry_Int_Tables_number 225
_symmetry_space_group_name_Hall '-F 4 2 3'
_cell_length_a 6.418
_cell_length_b 6.418
_cell_length_c 6.418
_cell_angle_alpha 90.00
_cell_angle_beta 90.00
_cell_angle_gamma 90.00
loop_
_atom_site_label
_atom_site_fract_x
_atom_site_fract_y
_atom_site_fract_z
Y1 0.000 0.000 0.000
Tl1 0.000 0.000 0.500
B1 0.250 0.250 0.250


# Y2TlZnB (PBE, relaxed)
# total magnetic moment = 0.00 μB/atom
# ΔE_f = -0.211 eV per atom
# total DFT energy (no corrections) = -0.1786 hartree per atom
# D(E_F) = 0.937 states/eV/atom
data_Y2TlZnB
_chemical_formula_sum 'Y2 Tl1 Zn1 B1'
_symmetry_space_group_name_H-M 'P 4/m m m'
_symmetry_Int_Tables_number 123
_symmetry_space_group_name_Hall '-P 4 2'
_cell_length_a 5.176
_cell_length_b 5.176
_cell_length_c 4.105
_cell_angle_alpha 90.00
_cell_angle_beta 90.00
_cell_angle_gamma 90.00
loop_
_atom_site_label
_atom_site_fract_x
_atom_site_fract_y
_atom_site_fract_z
Y1 0.000 0.500 0.000
Tl1 0.000 0.000 0.500
Zn1 0.500 0.500 0.500
B1 0.500 0.500 0.000


# YZr2TlB (PBE, relaxed)
# total magnetic moment = 0.00 μB/atom
# ΔE_f = -0.282 eV per atom
# total DFT energy (no corrections) = -0.2500 hartree per atom
# D(E_F) = 0.699 states/eV/atom
data_YZr2TlB
_chemical_formula_sum 'Y1 Zr2 Tl1 B1'
_symmetry_space_group_name_H-M 'P 4/m m m'
_symmetry_Int_Tables_number 123
_symmetry_space_group_name_Hall '-P 4 2'
_cell_length_a 4.722
_cell_length_b 4.722
_cell_length_c 4.951
_cell_angle_alpha 90.00
_cell_angle_beta 90.00
_cell_angle_gamma 90.00
loop_
_atom_site_label
_atom_site_fract_x
_atom_site_fract_y
_atom_site_fract_z
Y1 0.000 0.000 0.000
Zr1 0.000 0.500 0.500
Tl1 0.500 0.500 0.000
B1 0.000 0.000 0.500


# Y2ZrTlB (PBE, relaxed)
# total magnetic moment = 0.00 μB/atom
# ΔE_f = -0.277 eV per atom
# total DFT energy (no corrections) = -0.2345 hartree per atom
# D(E_F) = 0.473 states/eV/atom
data_Y2ZrTlB
_chemical_formula_sum 'Y2 Zr1 Tl1 B1'
_symmetry_space_group_name_H-M 'P 4/m m m'
_symmetry_Int_Tables_number 123
_symmetry_space_group_name_Hall '-P 4 2'
_cell_length_a 5.004
_cell_length_b 5.004
_cell_length_c 4.740
_cell_angle_alpha 90.00
_cell_angle_beta 90.00
_cell_angle_gamma 90.00
loop_
_atom_site_label
_atom_site_fract_x
_atom_site_fract_y
_atom_site_fract_z
Y1 0.000 0.500 0.000
Zr1 0.000 0.000 0.500
Tl1 0.500 0.500 0.500
B1 0.000 0.000 0.000


total DFT energy (no corrections) of number 1 (YTlB2)?
-0.1704 hartree per atom